Material: CoCu3H
Method: DFT, PBE
State: relaxed

Values from the calculation:
* DOS(E_F): 0.455 states/eV/atom
* E above lowest polymorph: 0 meV/atom
* M_tot: 0.28 μB/atom
* DFT total energy: -21.42 eV for the cell shown

a = 3.678 Å, b = 3.678 Å, c = 3.678 Å
α = 90.00°, β = 90.00°, γ = 90.00°
Site moments in Bohr magnetons follow the coordinates.
Fractional positions:
H 0.000 0.000 0.000  0.01
Cu 0.000 0.000 0.500  0.03
Cu 0.500 0.000 0.000  -0.02
Cu 0.000 0.500 0.000  -0.03
Co 0.500 0.500 0.500  1.55